(1)
## Na2GaPd3 (PBE-GGA)

Data for crystalline Na2GaPd3 at its relaxed geometry.

Properties
Density in g/cm³: 6.61
Total energy in hartree per atom: -0.1450

Unit cell a=5.174 b=5.174 c=5.174 alpha=65.34 beta=65.34 gamma=65.34
Positions (direct):
1 Na 0.622 0.622 0.622
2 Na 0.378 0.378 0.378
3 Pd 0.500 0.000 0.000
4 Pd 0.000 0.000 0.500
5 Pd 0.000 0.500 0.000
6 Ga 0.000 0.000 0.000


(2)
## HfFeGe2 (PBE-GGA)

Data for crystalline HfFeGe2 at its relaxed geometry.

Properties
Density in g/cm³: 9.94
Total energy in hartree per atom: -0.2523

Unit cell a=4.476 b=4.476 c=4.476 alpha=60.00 beta=60.00 gamma=60.00
Positions (direct):
1 Ge 0.250 0.250 0.250
2 Ge 0.000 0.000 0.000
3 Hf 0.500 0.500 0.500
4 Fe 0.750 0.750 0.750